(1)
# Pr12HoCd6

An optimized crystal structure of Pr12HoCd6 (PBE, Alexandria).

abc: 8.390 8.390 8.390
angles: 88.01 88.01 88.01
Sites, in units of the cell vectors:
Pr: 0.031 0.308 0.931
Pr: 0.069 0.969 0.692
Pr: 0.114 0.346 0.455
Pr: 0.308 0.931 0.031
Pr: 0.346 0.455 0.114
Pr: 0.455 0.114 0.346
Pr: 0.545 0.886 0.654
Pr: 0.654 0.545 0.886
Pr: 0.692 0.069 0.969
Pr: 0.886 0.654 0.545
Pr: 0.931 0.031 0.308
Pr: 0.969 0.692 0.069
Ho: 0.500 0.500 0.500
Cd: 0.240 0.757 0.387
Cd: 0.243 0.613 0.760
Cd: 0.387 0.240 0.757
Cd: 0.613 0.760 0.243
Cd: 0.757 0.387 0.240
Cd: 0.760 0.243 0.613

Output
Mass density in Mg/m³: 7.1
ΔE_f in meV per atom: -110
Symmetry: R-3, No. 148

(2)
# CeHg5Au

An optimized crystal structure of CeHg5Au (PBE, Alexandria).

abc: 4.988 4.988 7.249
angles: 90.00 90.00 90.00
Sites, in units of the cell vectors:
Ce: 0.000 0.000 0.000
Hg: 0.000 0.500 0.287
Hg: 0.000 0.500 0.713
Hg: 0.500 0.000 0.287
Hg: 0.500 0.000 0.713
Hg: 0.500 0.500 0.000
Au: 0.000 0.000 0.500

Output
Mass density in Mg/m³: 12.3
ΔE_f in meV per atom: -220
Symmetry: P4/mmm, No. 123

(3)
# K2ZnIr

An optimized crystal structure of K2ZnIr (PBE, Alexandria).

abc: 2.969 2.969 10.978
angles: 90.00 90.00 90.00
Sites, in units of the cell vectors:
K: 0.000 0.000 0.226
K: 0.000 0.000 0.774
Zn: 0.500 0.500 0.500
Ir: 0.500 0.500 0.000

Output
Mass density in Mg/m³: 5.8
ΔE_f in meV per atom: 703
Symmetry: P4/mmm, No. 123

(4)
# Ba8Cd2In

An optimized crystal structure of Ba8Cd2In (PBE, Alexandria).

abc: 10.526 10.526 10.526
angles: 147.42 123.87 66.43
Sites, in units of the cell vectors:
Ba: 0.117 0.339 0.779
Ba: 0.135 0.135 0.000
Ba: 0.316 0.000 0.316
Ba: 0.440 0.661 0.779
Ba: 0.560 0.339 0.221
Ba: 0.684 0.000 0.684
Ba: 0.865 0.865 0.000
Ba: 0.883 0.661 0.221
Cd: 0.312 0.812 0.500
Cd: 0.688 0.188 0.500
In: 0.000 0.500 0.500

Output
Mass density in Mg/m³: 4.6
Relative energy among the computed polymorphs in kJ/mol of formula units: 66
ΔE_f in meV per atom: -119
Symmetry: Immm, No. 71

(5)
# LaNdLuSc

An optimized crystal structure of LaNdLuSc (PBE, Alexandria).

abc: 7.961 7.961 7.961
angles: 90.00 90.00 90.00
Sites, in units of the cell vectors:
La: 0.000 0.000 0.000
La: 0.000 0.500 0.500
La: 0.500 0.000 0.500
La: 0.500 0.500 0.000
Nd: 0.000 0.000 0.500
Nd: 0.000 0.500 0.000
Nd: 0.500 0.000 0.000
Nd: 0.500 0.500 0.500
Lu: 0.250 0.250 0.750
Lu: 0.250 0.750 0.250
Lu: 0.750 0.250 0.250
Lu: 0.750 0.750 0.750
Sc: 0.250 0.250 0.250
Sc: 0.250 0.750 0.750
Sc: 0.750 0.250 0.750
Sc: 0.750 0.750 0.250

Output
Mass density in Mg/m³: 6.6
ΔE_f in meV per atom: 74
Symmetry: F-43m, No. 216

(6)
# HfCo2SiPd

An optimized crystal structure of HfCo2SiPd (PBE, Alexandria).

abc: 4.203 4.203 4.430
angles: 90.00 90.00 90.00
Sites, in units of the cell vectors:
Hf: 0.000 0.000 0.000
Co: 0.000 0.500 0.500
Co: 0.500 0.000 0.500
Si: 0.500 0.500 0.500
Pd: 0.500 0.500 0.000

Output
DFT total energy in eV per atom: -6.912
Mass density in Mg/m³: 9.1
Symmetry: P4/mmm, No. 123